Below is a geometry-optimized Pm3Cu2Hg structure, with properties calculated at the PBE level.

Computed properties:
SG = P4/mmm
total DFT energy (no corrections) = -24.293 eV/f.u.
size of the total moment = 0.000 μB per atom
calculated density = 8.7 Mg/m³
ΔH_f (0 K) = -257.8 meV/atom

Unit cell a=3.6296 b=3.6296 c=11.0901 alpha=90.00 beta=90.00 gamma=90.00
Last column: nearest neighbours and their distance in Å.
Fractional positions:
Pm: 0.0000 0.0000 0.6849  4 Cu 3.11, 4 Hg 3.28
Pm: 0.0000 0.0000 0.0000  8 Cu 3.10
Pm: 0.0000 0.0000 0.3151  4 Cu 3.11, 4 Hg 3.28
Hg: 0.5000 0.5000 0.5000  8 Pm 3.28, 4 Hg 3.63
Cu: 0.5000 0.5000 0.1565  8 Pm 3.10-3.11
Cu: 0.5000 0.5000 0.8435  8 Pm 3.10-3.11



Below is a geometry-optimized Pm4Cu3Hg structure, with properties calculated at the PBE level.

Computed properties:
SG = Pmmm
E above lowest polymorph = 6.8 meV per atom
total DFT energy (no corrections) = -33.362 eV/f.u.
size of the total moment = 0.000 μB per atom
calculated density = 8.4 Mg/m³
ΔH_f (0 K) = -221.1 meV/atom

Unit cell a=3.6306 b=5.1775 c=10.2496 alpha=90.00 beta=90.00 gamma=90.00
Last column: nearest neighbours and their distance in Å.
Fractional positions:
Pm: 0.0000 0.0000 0.5000  8 Cu 3.12-3.16
Pm: 0.0000 0.5000 0.2637  6 Cu 3.03-3.16, 2 Hg 3.26
Pm: 0.0000 0.5000 0.7363  6 Cu 3.03-3.16, 2 Hg 3.26
Pm: 0.0000 0.0000 0.0000  4 Hg 3.16, 4 Cu 3.17
Cu: 0.5000 0.5000 0.5000  8 Pm 3.03-3.16
Cu: 0.5000 0.0000 0.7470  8 Pm 3.12-3.17
Cu: 0.5000 0.0000 0.2530  8 Pm 3.12-3.17
Hg: 0.5000 0.5000 0.0000  8 Pm 3.16-3.26